No. 1
Below is crystalline Na2I3Br8 at its relaxed geometry, with properties calculated at the PBE level.

a b c (Å): 18.6660 9.1235 15.5356
angles (deg): 90.00 110.94 90.00
Space group C2/c (No. 15)
Unique sites:
1 Na 0.1069 0.0523 0.0904 x8
2 I 0.0000 0.4683 0.2500 x4
3 I 0.1919 0.1627 0.8500 x8
4 Br 0.0187 0.3588 0.6199 x8
5 Br 0.0387 0.2073 0.4843 x8
6 Br 0.1413 0.1050 0.2849 x8
7 Br 0.2381 0.4350 0.9145 x8

Results
Total DFT energy (no corrections)   -2.039 eV per atom
DOS at the Fermi energy   0.2892 states/eV/atom
Density   2.87 g/cm3
Total magnetic moment   3.60 μB/cell
E_form (uncorrected)   -0.45 eV per atom

No. 2
Below is crystalline BaCd2S2 at its relaxed geometry, with properties calculated at the PBE level.

a b c (Å): 8.0791 8.0791 3.9917
angles (deg): 90.00 90.00 90.00
Space group P4/mbm (No. 127)
Unique sites:
1 Ba 0.0000 0.0000 0.0000 x2
2 Cd 0.1319 0.3681 0.5000 x4
3 S 0.1557 0.6557 0.0000 x4

Results
Total DFT energy (no corrections)   -2.934 eV per atom
DOS at the Fermi energy   0.4690 states/eV/atom
Density   5.43 g/cm3
Total magnetic moment   0.00 μB/cell
E_form (uncorrected)   -0.53 eV per atom
Energy above the most stable polymorph in this dataset   0.179 eV/atom

No. 3
Below is crystalline MgSBr2 at its relaxed geometry, with properties calculated at the PBE level.

a b c (Å): 9.9514 9.9514 4.9015
angles (deg): 90.00 90.00 90.00
Space group I-42d (No. 122)
Unique sites:
1 Mg 0.0000 0.0000 0.0000 x4
2 S 0.0000 0.0000 0.5000 x4
3 Br 0.0744 0.7500 0.1250 x8

Results
Total DFT energy (no corrections)   -2.710 eV per atom
DOS at the Fermi energy   0.1263 states/eV/atom
Density   2.96 g/cm3
Total magnetic moment   0.00 μB/cell
E_form (uncorrected)   -0.44 eV per atom
Energy above the most stable polymorph in this dataset   0.013 eV/atom

No. 4
Below is crystalline HWBr2Cl at its relaxed geometry, with properties calculated at the PBE level.

a b c (Å): 5.1692 5.1692 4.7432
angles (deg): 90.00 90.00 90.00
Space group P4/mmm (No. 123)
Unique sites:
1 H 0.0000 0.0000 0.0000 x1
2 W 0.5000 0.5000 0.5000 x1
3 Br 0.0000 0.5000 0.5000 x2
4 Cl 0.5000 0.5000 0.0000 x1

Results
Total DFT energy (no corrections)   -3.852 eV per atom
DOS at the Fermi energy   0.7008 states/eV/atom
Density   4.98 g/cm3
Total magnetic moment   3.08 μB/cell